The following is a DFT calculation (PBE) of AlAg3Ge after structural relaxation.

Results
Calculated volume: 121 Å³/f.u.
Calculated formation energy: 2.58 eV per formula unit
Theoretical density: 5.828 Mg/m³

The structure in POSCAR format:
```
AlAg3Ge
1.0
4.940 0.000 0.000
0.000 4.940 0.000
0.000 0.000 4.940
Al Ag Ge
1 3 1
Direct
0.000 0.000 0.000
0.000 0.500 0.500
0.500 0.000 0.500
0.500 0.500 0.000
0.500 0.500 0.500
```